TePbSe2 | Alexandria | GGA-PBEsol | optimized geometry; calculated density = 6.901 g/cm³; ΔE_f (raw) = -0.175 eV/atom
1.0
3.984 0.000 0.000
1.992 4.102 0.210
1.992 1.338 7.323
Pb Se Te
1 2 1
Direct
0.500 0.500 0.500 Pb
0.875 0.980 0.269 Se
0.125 0.020 0.731 Se
0.500 0.000 0.000 Te

TiPbSe2 | Alexandria | GGA-PBEsol | optimized geometry; calculated density = 7.223 g/cm³; ΔE_f (raw) = -0.866 eV/atom
1.0
-0.144 -2.861 1.957
2.895 -1.789 0.673
2.294 3.487 8.342
Se Pb Ti
2 1 1
Direct
0.890 0.890 0.330 Se
0.110 0.110 0.670 Se
0.000 0.000 0.000 Pb
0.500 0.500 0.500 Ti